VASP calculation (GGA-PBE) on a relaxed structure of BaMoPt2.

Values from the calculation:
density of states at the Fermi level: 0.99 states/eV per atom
space group: R3m (160)
E above lowest polymorph: 79 meV per atom
calculated volume: 26.03 Å³ per atom
formation enthalpy at 0 K: -0.180 eV per atom
VASP energy: -6.388 eV per atom

a = 6.529 Å, b = 6.529 Å, c = 6.529 Å
α = 40.11°, β = 40.11°, γ = 40.11°
Fractional positions:
Ba 0.000 0.000 0.000
Mo 0.185 0.185 0.185
Pt 0.524 0.524 0.524
Pt 0.808 0.808 0.808